1.
DFT (PBE-GGA) results for a geometry-optimized SrEuErMg structure.

Cell: 8.249 8.249 8.249 Å, 90.00 90.00 90.00°
Space group F-43m (No. 216)
Inequivalent atoms, fractional coordinates:
Sr  0.000  0.000  0.000 [4 per cell]
Eu  0.250  0.250  0.750 [4 per cell]
Er  0.000  0.000  0.500 [4 per cell]
Mg  0.250  0.250  0.250 [4 per cell]

- Crystal system: cubic
- ΔE_f: 0.1381 eV per atom
- Final energy: -0.323 Ry per atom

=====

2.
DFT (PBE-GGA) results for a geometry-optimized EuErMgTl structure.

Cell: 7.709 7.709 7.709 Å, 90.00 90.00 90.00°
Space group F-43m (No. 216)
Inequivalent atoms, fractional coordinates:
Eu  0.000  0.000  0.000 [4 per cell]
Er  0.000  0.000  0.500 [4 per cell]
Mg  0.250  0.250  0.750 [4 per cell]
Tl  0.250  0.250  0.250 [4 per cell]

- Crystal system: cubic
- ΔE_f: -0.2228 eV per atom
- Final energy: -0.362 Ry per atom

=====

3.
DFT (PBE-GGA) results for a geometry-optimized EuErTmMg structure.

Cell: 7.862 7.862 7.862 Å, 90.00 90.00 90.00°
Space group F-43m (No. 216)
Inequivalent atoms, fractional coordinates:
Eu  0.000  0.000  0.000 [4 per cell]
Er  0.000  0.000  0.500 [4 per cell]
Tm  0.250  0.250  0.750 [4 per cell]
Mg  0.250  0.250  0.250 [4 per cell]

- Crystal system: cubic
- ΔE_f: 0.0757 eV per atom
- Final energy: -0.379 Ry per atom

=====

4.
DFT (PBE-GGA) results for a geometry-optimized EuEr3Mn structure.

Cell: 5.320 5.320 5.320 Å, 90.00 90.00 90.00°
Space group Pm-3m (No. 221)
Inequivalent atoms, fractional coordinates:
Eu  0.000  0.000  0.000 [1 per cell]
Er  0.000  0.500  0.500 [3 per cell]
Mn  0.500  0.500  0.500 [1 per cell]

- Crystal system: cubic
- ΔE_f: 0.1590 eV per atom
- Final energy: -0.475 Ry per atom

=====

5.
DFT (PBE-GGA) results for a geometry-optimized EuErN2 structure.

Cell: 3.4996 3.4996 17.2442 Å, 90.00 90.00 120.00°
Space group R-3m (No. 166, hexagonal axes)
Inequivalent atoms, fractional coordinates:
Eu  0.0000  0.0000  0.0000 [3 per cell]
Er  0.0000  0.0000  0.5000 [3 per cell]
N  0.0000  0.0000  0.2456 [6 per cell]

- Crystal system: trigonal
- Final energy: -0.672 Ry per atom
- Energy relative to the elements, uncorrected: -1.275 eV per atom

=====

6.
DFT (PBE-GGA) results for a geometry-optimized Eu2Er4N structure.

Cell: 4.844 4.844 18.485 Å, 90.00 90.00 90.00°
Space group I4/mmm (No. 139)
Inequivalent atoms, fractional coordinates:
Eu  0.000  0.000  0.174 [4 per cell]
Er  0.000  0.000  0.377 [4 per cell]
Er  0.000  0.500  0.000 [4 per cell]
N  0.000  0.000  0.500 [2 per cell]

- Crystal system: tetragonal
- Final energy: -0.514 Ry per atom
- Energy relative to the elements, uncorrected: -0.259 eV per atom

=====

7.
DFT (PBE-GGA) results for a geometry-optimized NaEu2Er structure.

Cell: 3.7151 3.7151 37.5527 Å, 90.00 90.00 120.00°
Space group R-3m (No. 166, hexagonal axes)
Inequivalent atoms, fractional coordinates:
Na  0.0000  0.0000  0.0000 [3 per cell]
Eu  0.0000  0.0000  0.2460 [6 per cell]
Er  0.0000  0.0000  0.5000 [3 per cell]

- Crystal system: trigonal
- ΔE_f: 0.1000 eV per atom
- Final energy: -0.478 Ry per atom

=====

8.
DFT (PBE-GGA) results for a geometry-optimized NaEuEr structure.

Cell: 3.6358 3.6358 9.3298 Å, 90.00 90.00 120.00°
Space group P3m1 (No. 156)
Inequivalent atoms, fractional coordinates:
Na  0.0000  0.0000  0.0000 [1 per cell]
Eu  0.3333  0.6667  0.6448 [1 per cell]
Er  0.6667  0.3333  0.3303 [1 per cell]

- Crystal system: trigonal
- ΔE_f: 0.1707 eV per atom
- Final energy: -0.383 Ry per atom